Below is Th2ReTe after structural relaxation, with properties calculated at the PBE-GGA level.

For the calculated total energy, the calculation gives -7.16 eV/atom. For the density of states at the Fermi level, the calculation gives 4.24 states/eV/f.u. As for the spin magnetization: 0.0 Bohr magnetons per cell. Its space group is No. 166.

Geometry as POSCAR:
```
Th2ReTe
1.0
3.619 0.000 0.000
-1.810 3.134 0.000
0.000 0.000 30.094
Th Re Te
6 3 3
Cartesian
0.000 0.000 2.586
0.000 0.000 27.508
0.000 2.090 17.476
0.000 2.090 22.649
1.810 1.045 7.445
1.810 1.045 12.618
0.000 0.000 0.000
0.000 2.090 20.063
1.810 1.045 10.031
0.000 0.000 15.047
0.000 2.090 5.016
1.810 1.045 25.079
```

***

Below is YVGa3 after structural relaxation, with properties calculated at the PBE-GGA level.

For the density of states at the Fermi level, the calculation gives 2.60 states/eV/f.u. As for the spin magnetization: 0.0 Bohr magnetons per cell. The energy above the lowest structure with this stoichiometry is 0.00 eV/f.u. The formation energy comes out at -132 meV per atom. Its space group is No. 221.

Geometry as POSCAR:
```
YVGa3
1.0
4.725 0.000 0.000
0.000 4.725 0.000
0.000 0.000 4.725
Y V Ga
1 1 3
Cartesian
0.000 0.000 0.000
2.363 2.363 2.363
0.000 2.363 2.363
2.363 0.000 2.363
2.363 2.363 0.000
```

***

Below is ZnSi2Pt2 after structural relaxation, with properties calculated at the PBE-GGA level.

For the calculated total energy, the calculation gives -5.29 eV/atom. For the density of states at the Fermi level, the calculation gives 1.87 states/eV/f.u. As for the spin magnetization: 0.0 Bohr magnetons per cell. Its space group is No. 11.

Geometry as POSCAR:
```
ZnSi2Pt2
1.0
6.311 0.000 0.000
0.000 3.785 0.000
-1.972 0.000 6.946
Zn Si Pt
2 4 4
Cartesian
-0.598 0.946 2.472
4.937 2.839 4.473
1.525 2.839 0.718
0.895 0.946 4.838
3.444 2.839 2.107
2.815 0.946 6.228
-1.028 0.946 6.298
1.060 2.839 3.344
3.280 0.946 3.601
5.367 2.839 0.647
```

***

Below is La2SCl after structural relaxation, with properties calculated at the PBE-GGA level.

For the density of states at the Fermi level, the calculation gives 2.74 states/eV/f.u. As for the spin magnetization: 0.0 Bohr magnetons per cell. The energy above the lowest structure with this stoichiometry is 1.09 eV/f.u. Its space group is No. 225.

Geometry as POSCAR:
```
La2SCl
1.0
7.208 0.000 0.000
0.000 7.208 0.000
0.000 0.000 7.208
La S Cl
8 4 4
Cartesian
1.802 1.802 1.802
1.802 1.802 5.406
1.802 5.406 1.802
1.802 5.406 5.406
5.406 1.802 1.802
5.406 1.802 5.406
5.406 5.406 1.802
5.406 5.406 5.406
0.000 0.000 0.000
0.000 3.604 3.604
3.604 0.000 3.604
3.604 3.604 0.000
0.000 0.000 3.604
0.000 3.604 0.000
3.604 0.000 0.000
3.604 3.604 3.604
```

***

Below is TbAlZn after structural relaxation, with properties calculated at the PBE-GGA level.

For the density of states at the Fermi level, the calculation gives 1.73 states/eV/f.u. As for the spin magnetization: 0.0 Bohr magnetons per cell. The formation energy comes out at -332 meV per atom. Its space group is No. 216.

Geometry as POSCAR:
```
TbAlZn
1.0
6.455 0.000 0.000
0.000 6.455 0.000
0.000 0.000 6.455
Tb Al Zn
4 4 4
Cartesian
0.000 0.000 0.000
0.000 3.228 3.228
3.228 0.000 3.228
3.228 3.228 0.000
0.000 0.000 3.228
0.000 3.228 0.000
3.228 0.000 0.000
3.228 3.228 3.228
1.614 1.614 1.614
1.614 4.841 4.841
4.841 1.614 4.841
4.841 4.841 1.614
```

***

Below is Tb5Hg2O after structural relaxation, with properties calculated at the PBE-GGA level.

For the calculated total energy, the calculation gives -4.32 eV/atom. For the density of states at the Fermi level, the calculation gives 7.23 states/eV/f.u. As for the spin magnetization: 0.0 Bohr magnetons per cell. Its space group is No. 63.

Geometry as POSCAR:
```
Tb5Hg2O
1.0
1.841 -10.049 0.000
1.841 10.049 0.000
0.000 0.000 12.829
Tb Hg O
10 4 2
Cartesian
1.841 8.519 7.751
1.841 8.519 11.492
1.841 4.011 3.207
1.841 3.724 7.107
1.841 3.724 12.136
1.841 -3.724 0.693
1.841 -3.724 5.721
1.841 -4.011 9.621
1.841 -8.519 1.337
1.841 -8.519 5.077
1.841 8.551 1.808
1.841 8.551 4.607
1.841 -8.551 8.222
1.841 -8.551 11.021
1.841 7.372 9.621
1.841 -7.372 3.207
```

***

Results for V: 114 106 83 94 67 237 (in Å³/f.u., following the order of the records).